Record 1
Below is a geometry-optimized MnCo2Br6 structure, with properties calculated at the PBE-GGA level.

Cell: 6.920 8.881 8.881 Å, 84.50 80.65 80.65°
Last column: magnetic moment on the atom in μB.
Positions (direct):
Mn 0.250 0.117 0.883  4.42
Mn 0.750 0.883 0.117  4.42
Co 0.188 0.616 0.779  2.41
Co 0.312 0.221 0.384  2.41
Co 0.812 0.384 0.221  2.41
Co 0.688 0.779 0.616  2.41
Br 0.390 0.708 0.557  0.20
Br 0.110 0.443 0.292  0.20
Br 0.610 0.292 0.443  0.20
Br 0.890 0.557 0.708  0.20
Br 0.866 0.876 0.380  0.14
Br 0.634 0.620 0.124  0.14
Br 0.134 0.124 0.620  0.14
Br 0.366 0.380 0.876  0.14
Br 0.117 0.810 0.964  0.13
Br 0.383 0.036 0.190  0.13
Br 0.883 0.190 0.036  0.13
Br 0.617 0.964 0.810  0.13

Values from the calculation:
ΔE to the lowest computed polymorph	0	meV/atom
magnetic moment	1.225	μB per atom
crystal system	monoclinic
raw formation energy	-0.400	eV per atom
DFT total energy	-74.0	eV for the cell shown

---

Record 2
Below is a geometry-optimized LaOs2Cl2 structure, with properties calculated at the PBE-GGA level.

Cell: 7.773 7.773 3.394 Å, 90.00 90.00 90.00°
Positions (direct):
Cl 0.239 0.739 0.500
Cl 0.739 0.761 0.500
Cl 0.761 0.261 0.500
Cl 0.261 0.239 0.500
Os 0.393 0.893 0.000
Os 0.893 0.607 0.000
Os 0.607 0.107 0.000
Os 0.107 0.393 0.000
La 0.000 0.000 0.000
La 0.500 0.500 0.000

Values from the calculation:
ΔE to the lowest computed polymorph	435	meV/atom
magnetic moment	0.000	μB per atom
crystal system	tetragonal
raw formation energy	0.552	eV per atom
DFT total energy	-56.6	eV for the cell shown

---

Record 3
Below is a geometry-optimized GdHo2Al structure, with properties calculated at the PBE-GGA level.

Cell: 4.735 4.763 4.763 Å, 90.00 90.00 90.00°
Last column: magnetic moment on the atom in μB.
Positions (direct):
Gd 0.500 0.500 0.500  7.22
Ho 0.000 0.000 0.500  0.12
Ho 0.000 0.500 0.000  0.12
Al 0.500 0.000 0.000  -0.02

Values from the calculation:
ΔE to the lowest computed polymorph	0	meV/atom
magnetic moment	1.914	μB per atom
crystal system	tetragonal
DFT total energy	-27.7	eV for the cell shown

---

Record 4
Below is a geometry-optimized CdIrOs4 structure, with properties calculated at the PBE-GGA level.

Cell: 5.175 5.175 5.175 Å, 60.00 60.00 60.00°
Positions (direct):
Cd 0.750 0.750 0.750
Ir 0.000 0.000 0.000
Os 0.877 0.374 0.374
Os 0.374 0.374 0.877
Os 0.374 0.877 0.374
Os 0.374 0.374 0.374

Values from the calculation:
magnetic moment	0.001	μB per atom
crystal system	cubic
DFT total energy	-49.4	eV for the cell shown

---

Repeat the second record exactly.
Below is a geometry-optimized LaOs2Cl2 structure, with properties calculated at the PBE-GGA level.

Cell: 7.773 7.773 3.394 Å, 90.00 90.00 90.00°
Positions (direct):
Cl 0.239 0.739 0.500
Cl 0.739 0.761 0.500
Cl 0.761 0.261 0.500
Cl 0.261 0.239 0.500
Os 0.393 0.893 0.000
Os 0.893 0.607 0.000
Os 0.607 0.107 0.000
Os 0.107 0.393 0.000
La 0.000 0.000 0.000
La 0.500 0.500 0.000

Values from the calculation:
ΔE to the lowest computed polymorph	435	meV/atom
magnetic moment	0.000	μB per atom
crystal system	tetragonal
raw formation energy	0.552	eV per atom
DFT total energy	-56.6	eV for the cell shown

---

magnetic moment of number 4 (CdIrOs4)? 0.001 μB per atom

---

DFT total energy of number 1 (MnCo2Br6)? -74.0 eV for the cell shown

---

DFT total energy of number 4 (CdIrOs4)? -49.4 eV for the cell shown